Entry from Alexandria via LeMat-Bulk: a relaxed RbTa crystal (PBE).

Output
**Space group**: No. 70
**Density of states at the Fermi level**: 2.41 states/eV/f.u.
**Excess energy over the best structure of this formula in the dataset**: 1076 meV/atom
**Energy of formation**: 1.8679 eV/atom

Lattice parameters (Å, degrees): 6.936 16.420 10.503 90.00 90.00 90.00
Last column: magnetic moment on the atom in μB.
Positions (direct):
Rb  0.000  0.000  0.661  0.01
Rb  0.000  0.000  0.339  0.01
Rb  0.250  0.750  0.589  0.01
Rb  0.250  0.750  0.911  0.01
Rb  0.000  0.500  0.161  0.01
Rb  0.000  0.500  0.839  0.01
Rb  0.250  0.250  0.089  0.01
Rb  0.250  0.250  0.411  0.01
Rb  0.500  0.000  0.161  0.01
Rb  0.500  0.000  0.839  0.01
Rb  0.750  0.750  0.089  0.01
Rb  0.750  0.750  0.411  0.01
Rb  0.500  0.500  0.661  0.01
Rb  0.500  0.500  0.339  0.01
Rb  0.750  0.250  0.589  0.01
Rb  0.750  0.250  0.911  0.01
Ta  0.000  0.070  0.000  0.29
Ta  0.000  0.930  0.000  0.29
Ta  0.250  0.680  0.250  0.29
Ta  0.250  0.820  0.250  0.29
Ta  0.000  0.570  0.500  0.29
Ta  0.000  0.430  0.500  0.29
Ta  0.250  0.180  0.750  0.29
Ta  0.250  0.320  0.750  0.29
Ta  0.500  0.070  0.500  0.29
Ta  0.500  0.930  0.500  0.29
Ta  0.750  0.680  0.750  0.29
Ta  0.750  0.820  0.750  0.29
Ta  0.500  0.570  0.000  0.29
Ta  0.500  0.430  0.000  0.29
Ta  0.750  0.180  0.250  0.29
Ta  0.750  0.320  0.250  0.29